Computed, not measured: an optimized crystal structure of RbH7Ir2 at the PBE level of DFT.

Values from the calculation:
* space-group type: Cmmm

Lattice parameters (Å, degrees): 3.578 5.424 5.579 119.08 90.00 90.00
Element x y z (fractional)
H1 0.500 0.653 0.685
H2 0.500 0.347 0.315
H3 0.500 0.967 0.315
H4 0.000 0.322 0.645
H5 0.000 0.678 0.355
H6 0.500 0.033 0.685
H7 0.500 0.500 0.000
Ir1 0.500 0.314 0.629
Ir2 0.500 0.686 0.371
Rb1 0.000 0.000 0.000

Computed, not measured: an optimized crystal structure of MnSe at the PBE level of DFT.

Values from the calculation:
* space-group type: I4/m
* formation energy from raw total energies: -0.2838 eV/atom

Lattice parameters (Å, degrees): 10.807 10.807 4.247 90.00 90.00 90.00
Site moments in Bohr magnetons follow the coordinates.
Element x y z (fractional)
Mn1 0.128 0.707 0.500  4.37
Mn2 0.707 0.872 0.500  4.37
Mn3 0.793 0.628 0.000  4.37
Mn4 0.872 0.293 0.500  4.37
Mn5 0.207 0.372 0.000  4.37
Mn6 0.372 0.793 0.000  4.37
Mn7 0.293 0.128 0.500  4.37
Mn8 0.628 0.207 0.000  4.37
Se1 0.893 0.719 0.500  0.11
Se2 0.107 0.281 0.500  0.11
Se3 0.393 0.219 0.000  0.11
Se4 0.219 0.607 0.000  0.11
Se5 0.719 0.107 0.500  0.11
Se6 0.781 0.393 0.000  0.11
Se7 0.281 0.893 0.500  0.11
Se8 0.607 0.781 0.000  0.11

Computed, not measured: an optimized crystal structure of CoMoPd at the PBE level of DFT.

Values from the calculation:
* calculated formation energy: 7 kJ per mole of atoms
* space-group type: C2/m
* energy above the lowest structure with this stoichiometry: 28 meV per atom

Lattice parameters (Å, degrees): 2.718 7.116 10.301 27.50 90.00 101.01
Site moments in Bohr magnetons follow the coordinates.
Element x y z (fractional)
Pd1 0.448 0.895 0.733  0.10
Pd2 0.552 0.105 0.267  0.10
Co1 0.241 0.482 0.227  0.91
Co2 0.759 0.518 0.773  0.91
Mo1 0.109 0.219 0.758  -0.13
Mo2 0.891 0.781 0.242  -0.13

Computed, not measured: an optimized crystal structure of NdPu2Pa3As6 at the PBE level of DFT.

Values from the calculation:
* calculated formation energy: -110 kJ per mole of atoms
* space-group type: C2/m

Lattice parameters (Å, degrees): 7.173 7.173 7.161 99.61 99.61 120.00
Site moments in Bohr magnetons follow the coordinates.
Element x y z (fractional)
As1 0.252 0.252 0.743  -0.04
As2 0.576 0.914 0.742  -0.04
As3 0.424 0.086 0.258  -0.04
As4 0.914 0.576 0.742  -0.04
As5 0.086 0.424 0.258  -0.04
As6 0.748 0.748 0.257  -0.04
Pu1 0.667 0.333 0.000  5.20
Pu2 0.333 0.667 0.000  5.20
Pa1 0.835 0.165 0.500  0.20
Pa2 0.165 0.835 0.500  0.20
Pa3 0.500 0.500 0.500  0.20
Nd1 0.000 0.000 0.000  0.00

Computed, not measured: an optimized crystal structure of BaSb4 at the PBE level of DFT.

Values from the calculation:
* space-group type: Pm-3m
* energy above the lowest structure with this stoichiometry: 1445 meV per atom
* formation energy from raw total energies: 1.1416 eV/atom

Lattice parameters (Å, degrees): 6.160 6.160 6.160 90.00 90.00 90.00
Element x y z (fractional)
Sb1 0.000 0.000 0.000
Sb2 0.000 0.500 0.500
Sb3 0.500 0.000 0.500
Sb4 0.500 0.500 0.000
Ba1 0.500 0.500 0.500

Computed, not measured: an optimized crystal structure of AcZn2Cd at the PBE level of DFT.

Values from the calculation:
* calculated formation energy: -27 kJ per mole of atoms
* space-group type: Cmcm

Lattice parameters (Å, degrees): 4.996 6.155 6.847 90.00 90.00 113.94
Element x y z (fractional)
Zn1 0.610 0.219 0.063
Zn2 0.390 0.781 0.563
Zn3 0.610 0.219 0.437
Zn4 0.390 0.781 0.937
Cd1 0.200 0.400 0.250
Cd2 0.800 0.600 0.750
Ac1 0.895 0.790 0.250
Ac2 0.105 0.210 0.750

Computed, not measured: an optimized crystal structure of CeNdBiO2 at the PBE level of DFT.

Values from the calculation:
* space-group type: I4mm
* formation energy from raw total energies: -2.5954 eV/atom

Lattice parameters (Å, degrees): 4.032 4.032 7.285 106.06 106.06 90.00
Site moments in Bohr magnetons follow the coordinates.
Element x y z (fractional)
O1 0.747 0.247 0.494  -0.01
O2 0.247 0.747 0.494  -0.01
Nd1 0.840 0.840 0.681  0.00
Ce1 0.163 0.163 0.326  0.59
Bi1 0.502 0.502 0.004  -0.01

Computed, not measured: an optimized crystal structure of Ce2CuRu3 at the PBE level of DFT.

Values from the calculation:
* calculated formation energy: -25 kJ per mole of atoms
* space-group type: C2/m

Lattice parameters (Å, degrees): 5.479 5.479 5.158 89.83 122.07 120.19
Element x y z (fractional)
Cu1 0.000 0.000 0.000
Ce1 0.262 0.631 0.893
Ce2 0.738 0.369 0.107
Ru1 0.000 0.000 0.500
Ru2 0.500 0.500 0.500
Ru3 0.500 0.000 0.500

For each record above, in turn, the calculated VASP energy values are -42.5, -105.8, -45.8, -103.5, -12.7, -17.4, -37.5, -45.4 eV/cell.